# Sm5Si2Ag2 (GGA-PBE, optimized geometry)
data_Sm5Si2Ag2
_symmetry_space_group_name_H-M 'P 1'
_symmetry_Int_Tables_number 1
_cell_length_a 8.889
_cell_length_b 8.889
_cell_length_c 7.652
_cell_angle_alpha 90.00
_cell_angle_beta 90.00
_cell_angle_gamma 51.14
loop_
_symmetry_equiv_pos_as_xyz
'x,y,z'
loop_
_atom_site_label
_atom_site_fract_x
_atom_site_fract_y
_atom_site_fract_z
Sm1 0.000 0.000 0.000
Sm2 0.051 0.689 0.678
Sm3 0.189 0.551 0.178
Sm4 0.311 0.949 0.678
Sm5 0.449 0.811 0.178
Sm6 0.500 0.500 0.500
Sm7 0.551 0.189 0.822
Sm8 0.689 0.051 0.322
Sm9 0.811 0.449 0.822
Sm10 0.949 0.311 0.322
Si1 0.116 0.884 0.384
Si2 0.384 0.616 0.884
Si3 0.616 0.384 0.116
Si4 0.884 0.116 0.616
Ag1 0.215 0.215 0.000
Ag2 0.285 0.285 0.500
Ag3 0.715 0.715 0.500
Ag4 0.785 0.785 0.000
# **Total energy**: -4.915 eV per atom
# **Formation energy from raw total energies**: -455 meV/atom
# **Calculated density**: 7.2 g cm⁻³